No. 1
The following is a DFT calculation (SCAN) of a PBEsol-optimized structure of NaMn2Ni.

Computed properties:
**Formation energy**: 0.326 eV/atom
**Space-group type**: Fm-3m

abc: 4.2931 4.2931 4.2931
angles: 60.00 60.00 60.00
Fractional positions:
Mn1 0.7500 0.7500 0.7500
Mn2 0.2500 0.2500 0.2500
Na1 0.0000 0.0000 0.0000
Ni1 0.5000 0.5000 0.5000

No. 2
The following is a DFT calculation (SCAN) of a PBEsol-optimized structure of La2SiAu.

Computed properties:
**E_form (uncorrected)**: -899 meV/atom
**Space-group type**: Amm2

abc: 4.3181 4.3306 5.9422
angles: 90.00 111.31 90.00
Fractional positions:
Au1 0.6775 0.5000 0.3551
La1 0.3893 0.5000 0.7787
La2 0.1070 0.0000 0.2139
Si1 0.8221 0.0000 0.6443

No. 3
The following is a DFT calculation (SCAN) of a PBEsol-optimized structure of BeCu2Se.

Computed properties:
**Offset from the most stable computed form**: 191 meV per atom
**E_form (uncorrected)**: 237 meV/atom
**Space-group type**: I4/mmm

abc: 3.5135 3.5135 4.7822
angles: 111.55 111.55 90.00
Fractional positions:
Cu1 0.7500 0.2500 0.5000
Cu2 0.2500 0.7500 0.5000
Se1 0.5000 0.5000 0.0000
Be1 0.0000 0.0000 0.0000

No. 4
The following is a DFT calculation (SCAN) of a PBEsol-optimized structure of Sr2H2Pb.

Computed properties:
**Space-group type**: I4/mmm

abc: 3.8668 3.8668 7.9859
angles: 104.01 104.01 90.00
Fractional positions:
Sr1 0.6555 0.6555 0.3109
Sr2 0.3445 0.3445 0.6891
H1 0.2500 0.7500 0.5000
H2 0.7500 0.2500 0.5000
Pb1 0.0000 0.0000 0.0000

Number 1: E_tot -55.60 eV per formula unit, theoretical density 5.7 g cm⁻³, DOS(E_F) 0.63 states/eV/atom. Number 2: E_tot -168.98 eV per formula unit, theoretical density 8.1 g cm⁻³, DOS(E_F) 0.90 states/eV/atom. Number 3: E_tot -53.88 eV per formula unit, theoretical density 7.1 g cm⁻³, DOS(E_F) 0.28 states/eV/atom. Number 4: E_tot -130.68 eV per formula unit, theoretical density 5.7 g cm⁻³, DOS(E_F) 0.24 states/eV/atom.